The following is a PBE calculation of MgRe2Os after structural relaxation, from the Alexandria database.

Cell lengths 2.9304, 4.5856, 9.1771 Å; angles 90.00, 90.00, 90.00 degrees
Space group Cmm2 (No. 35)
Unique sites:
1 Mg 0.0000 0.0000 0.0000 (multiplicity 2)
2 Re 0.0000 0.0000 0.5036 (multiplicity 2)
3 Re 0.0000 0.5000 0.2606 (multiplicity 2)
4 Os 0.0000 0.5000 0.7481 (multiplicity 2)

Results
* size of the total moment: 0.00 Bohr magnetons per cell
* DOS(E_F): 0.899 states/eV per atom
* energy of formation from the pure elements: 0.34 eV per atom

---

The following is a PBE calculation of Ac2MgPd12Au3 after structural relaxation, from the Alexandria database.

Cell lengths 9.2314, 9.2314, 13.8355 Å; angles 90.00, 90.00, 120.00 degrees
Space group R-3m (No. 166, hexagonal axes)
Unique sites:
1 Ac 0.0000 0.0000 0.1948 (multiplicity 6)
2 Mg 0.0000 0.0000 0.5000 (multiplicity 3)
3 Pd 0.0185 0.5092 0.2061 (multiplicity 18)
4 Pd 0.0248 0.5124 0.6045 (multiplicity 18)
5 Au 0.0000 0.5000 0.0000 (multiplicity 9)

Results
* size of the total moment: 0.00 Bohr magnetons per cell
* DOS(E_F): 0.316 states/eV per atom
* energy of formation from the pure elements: -0.39 eV per atom

---

The following is a PBE calculation of TlZnP2 after structural relaxation, from the Alexandria database.

Cell lengths 4.4981, 4.7554, 7.6140 Å; angles 90.00, 90.00, 90.00 degrees
Space group Cmm2 (No. 35)
Unique sites:
1 Tl 0.0000 0.0000 0.0000 (multiplicity 2)
2 Zn 0.0000 0.5000 0.2871 (multiplicity 2)
3 P 0.0000 0.0000 0.5235 (multiplicity 2)
4 P 0.0000 0.5000 0.6242 (multiplicity 2)

Results
* size of the total moment: 0.00 Bohr magnetons per cell
* DOS(E_F): 0.318 states/eV per atom
* energy above the lowest structure with this stoichiometry: 0.141 eV per atom
* energy of formation from the pure elements: 0.25 eV per atom

---

The following is a PBE calculation of MnBe2Ag after structural relaxation, from the Alexandria database.

Cell lengths 5.7075, 5.7075, 5.7075 Å; angles 90.00, 90.00, 90.00 degrees
Space group Fm-3m (No. 225)
Unique sites:
1 Mn 0.0000 0.0000 0.0000 (multiplicity 4)
2 Be 0.2500 0.2500 0.2500 (multiplicity 8)
3 Ag 0.0000 0.0000 0.5000 (multiplicity 4)

Results
* size of the total moment: 12.29 Bohr magnetons per cell
* DOS(E_F): 0.747 states/eV per atom
* energy above the lowest structure with this stoichiometry: 0.110 eV per atom
* energy of formation from the pure elements: 0.16 eV per atom

---

The following is a PBE calculation of Li8Tl2Ge after structural relaxation, from the Alexandria database.

Cell lengths 4.6133, 6.8254, 12.7586 Å; angles 90.00, 90.00, 90.00 degrees
Space group Immm (No. 71)
Unique sites:
1 Li 0.0000 0.0000 0.1545 (multiplicity 4)
2 Li 0.0000 0.2133 0.3674 (multiplicity 8)
3 Li 0.0000 0.2744 0.0000 (multiplicity 4)
4 Tl 0.0000 0.5000 0.2017 (multiplicity 4)
5 Ge 0.0000 0.5000 0.5000 (multiplicity 2)

Results
* size of the total moment: 0.00 Bohr magnetons per cell
* DOS(E_F): 0.330 states/eV per atom
* energy above the lowest structure with this stoichiometry: 0.000 eV per atom
* energy of formation from the pure elements: -0.22 eV per atom

---

The following is a PBE calculation of VRhI after structural relaxation, from the Alexandria database.

Cell lengths 7.1530, 4.0460, 10.0919 Å; angles 90.00, 105.53, 90.00 degrees
Space group C2/m (No. 12)
Unique sites:
1 V 0.1468 0.0000 0.4471 (multiplicity 4)
2 Rh 0.0747 0.5000 0.6355 (multiplicity 4)
3 I 0.1079 0.0000 0.8209 (multiplicity 4)

Results
* size of the total moment: 0.00 Bohr magnetons per cell
* DOS(E_F): 0.918 states/eV per atom
* energy above the lowest structure with this stoichiometry: 0.154 eV per atom
* ΔE_f (raw): -0.04 eV/atom

---

The following is a PBE calculation of TbZn5Au7 after structural relaxation, from the Alexandria database.

Cell lengths 5.3292, 9.3915, 9.1660 Å; angles 90.00, 90.00, 90.00 degrees
Space group Imm2 (No. 44)
Unique sites:
1 Tb 0.0000 0.0000 0.0000 (multiplicity 2)
2 Zn 0.0000 0.5000 0.2531 (multiplicity 2)
3 Zn 0.2488 0.2506 0.7360 (multiplicity 8)
4 Au 0.0000 0.0000 0.3401 (multiplicity 2)
5 Au 0.0000 0.0000 0.6689 (multiplicity 2)
6 Au 0.0000 0.3116 0.4790 (multiplicity 4)
7 Au 0.0000 0.3353 0.9942 (multiplicity 4)
8 Au 0.0000 0.5000 0.7208 (multiplicity 2)

Results
* size of the total moment: 0.00 Bohr magnetons per cell
* DOS(E_F): 0.367 states/eV per atom
* energy of formation from the pure elements: -0.35 eV per atom

---

The following is a PBE calculation of Ca2BeSe after structural relaxation, from the Alexandria database.

Cell lengths 7.2368, 7.2368, 7.2368 Å; angles 90.00, 90.00, 90.00 degrees
Space group Fm-3m (No. 225)
Unique sites:
1 Ca 0.2500 0.2500 0.2500 (multiplicity 8)
2 Be 0.0000 0.0000 0.0000 (multiplicity 4)
3 Se 0.0000 0.0000 0.5000 (multiplicity 4)

Results
* size of the total moment: 0.00 Bohr magnetons per cell
* DOS(E_F): 1.032 states/eV per atom
* energy above the lowest structure with this stoichiometry: 0.248 eV per atom
* ΔE_f (raw): -0.34 eV/atom

---

The following is a PBE calculation of HfAg2PtS after structural relaxation, from the Alexandria database.

Cell lengths 5.0601, 5.0601, 4.4403 Å; angles 90.00, 90.00, 90.00 degrees
Space group P4/mmm (No. 123)
Unique sites:
1 Hf 0.0000 0.0000 0.0000 (multiplicity 1)
2 Ag 0.0000 0.5000 0.5000 (multiplicity 2)
3 Pt 0.5000 0.5000 0.5000 (multiplicity 1)
4 S 0.5000 0.5000 0.0000 (multiplicity 1)

Results
* size of the total moment: 0.00 Bohr magnetons per cell
* DOS(E_F): 1.204 states/eV per atom
* ΔE_f (raw): 0.72 eV/atom

---

The following is a PBE calculation of DyTl2PbSe4 after structural relaxation, from the Alexandria database.

Cell lengths 7.5873, 4.2425, 7.7782 Å; angles 90.00, 108.95, 90.00 degrees
Space group P2/m (No. 10)
Unique sites:
1 Dy 0.0000 0.0000 0.0000 (multiplicity 1)
2 Tl 0.0000 0.5000 0.5000 (multiplicity 1)
3 Tl 0.5000 0.0000 0.5000 (multiplicity 1)
4 Pb 0.5000 0.5000 0.0000 (multiplicity 1)
5 Se 0.2229 0.5000 0.2151 (multiplicity 2)
6 Se 0.2366 0.0000 0.7713 (multiplicity 2)

Results
* size of the total moment: 0.00 Bohr magnetons per cell
* DOS(E_F): 0.627 states/eV per atom
* ΔE_f (raw): -0.87 eV/atom

---

The following is a PBE calculation of K2PmHg2Te4 after structural relaxation, from the Alexandria database.

Cell lengths 17.4816, 4.5250, 8.8289 Å; angles 90.00, 114.07, 90.00 degrees
Space group C2/m (No. 12)
Unique sites:
1 K 0.1272 0.0000 0.0782 (multiplicity 4)
2 Pm 0.0000 0.0000 0.5000 (multiplicity 2)
3 Hg 0.1888 0.5000 0.5148 (multiplicity 4)
4 Te 0.0182 0.5000 0.2615 (multiplicity 4)
5 Te 0.1941 0.0000 0.7371 (multiplicity 4)

Results
* size of the total moment: 0.00 Bohr magnetons per cell
* DOS(E_F): 0.464 states/eV per atom
* ΔE_f (raw): -0.79 eV/atom

---

The following is a PBE calculation of Y2SnAu after structural relaxation, from the Alexandria database.

Cell lengths 5.5063, 5.5063, 17.7250 Å; angles 90.00, 90.00, 90.00 degrees
Space group I-42d (No. 122)
Unique sites:
1 Y 0.2310 0.2500 0.1250 (multiplicity 8)
2 Sn 0.0000 0.0000 0.5000 (multiplicity 4)
3 Au 0.0000 0.0000 0.0000 (multiplicity 4)

Results
* size of the total moment: 0.00 Bohr magnetons per cell
* DOS(E_F): 0.638 states/eV per atom
* energy of formation from the pure elements: -0.11 eV per atom

---

The following is a PBE calculation of Pr4HgPS2 after structural relaxation, from the Alexandria database.

Cell lengths 7.3370, 4.1897, 7.3390 Å; angles 90.00, 109.07, 90.00 degrees
Space group P2/m (No. 10)
Unique sites:
1 Pr 0.2315 0.0000 0.2300 (multiplicity 2)
2 Pr 0.2457 0.5000 0.7631 (multiplicity 2)
3 Hg 0.5000 0.5000 0.5000 (multiplicity 1)
4 P 0.5000 0.0000 0.0000 (multiplicity 1)
5 S 0.0000 0.0000 0.5000 (multiplicity 1)
6 S 0.0000 0.5000 0.0000 (multiplicity 1)

Results
* size of the total moment: 0.00 Bohr magnetons per cell
* DOS(E_F): 0.697 states/eV per atom
* ΔE_f (raw): -1.46 eV/atom

---

The following is a PBE calculation of BaCo2Ag after structural relaxation, from the Alexandria database.

Cell lengths 4.1568, 4.6045, 5.2443 Å; angles 90.00, 96.76, 90.00 degrees
Space group P2/m (No. 10)
Unique sites:
1 Ba 0.0000 0.0000 0.0000 (multiplicity 1)
2 Co 0.2566 0.5000 0.5846 (multiplicity 2)
3 Ag 0.5000 0.0000 0.5000 (multiplicity 1)

Results
* size of the total moment: 2.75 Bohr magnetons per cell
* DOS(E_F): 1.351 states/eV per atom
* energy of formation from the pure elements: 0.55 eV per atom

---

The following is a PBE calculation of PrNd3Mg8 after structural relaxation, from the Alexandria database.

Cell lengths 6.1633, 6.1633, 9.9916 Å; angles 90.00, 90.00, 120.00 degrees
Space group P3m1 (No. 156)
Unique sites:
1 Pr 0.0000 0.0000 0.0000 (multiplicity 1)
2 Nd 0.0000 0.0000 0.3722 (multiplicity 1)
3 Nd 0.6667 0.3333 0.5028 (multiplicity 1)
4 Nd 0.6667 0.3333 0.8735 (multiplicity 1)
5 Mg 0.1634 0.3268 0.6866 (multiplicity 3)
6 Mg 0.3333 0.6667 0.4370 (multiplicity 1)
7 Mg 0.3333 0.6667 0.9372 (multiplicity 1)
8 Mg 0.5034 0.0069 0.1876 (multiplicity 3)

Results
* size of the total moment: 0.00 Bohr magnetons per cell
* DOS(E_F): 1.255 states/eV per atom
* energy of formation from the pure elements: -0.09 eV per atom

---

The following is a PBE calculation of ScZnCo2 after structural relaxation, from the Alexandria database.

Cell lengths 3.8572, 3.8572, 17.0150 Å; angles 90.00, 90.00, 90.00 degrees
Space group I-42d (No. 122)
Unique sites:
1 Sc 0.0000 0.0000 0.0000 (multiplicity 4)
2 Zn 0.0000 0.0000 0.5000 (multiplicity 4)
3 Co 0.1584 0.2500 0.6250 (multiplicity 8)

Results
* size of the total moment: 7.20 Bohr magnetons per cell
* DOS(E_F): 0.970 states/eV per atom
* energy of formation from the pure elements: 0.22 eV per atom

---

The following is a PBE calculation of Li2TaPt after structural relaxation, from the Alexandria database.

Cell lengths 2.6929, 2.6929, 8.7340 Å; angles 90.00, 90.00, 90.00 degrees
Space group P4/mmm (No. 123)
Unique sites:
1 Li 0.0000 0.0000 0.2119 (multiplicity 2)
2 Ta 0.5000 0.5000 0.5000 (multiplicity 1)
3 Pt 0.5000 0.5000 0.0000 (multiplicity 1)

Results
* size of the total moment: 0.00 Bohr magnetons per cell
* DOS(E_F): 0.727 states/eV per atom
* energy above the lowest structure with this stoichiometry: 0.266 eV per atom
* energy of formation from the pure elements: 0.01 eV per atom

---

The following is a PBE calculation of TbCeU2P4 after structural relaxation, from the Alexandria database.

Cell lengths 6.8842, 3.9726, 7.0018 Å; angles 90.00, 109.12, 90.00 degrees
Space group P2/m (No. 10)
Unique sites:
1 Tb 0.0000 0.0000 0.0000 (multiplicity 1)
2 Ce 0.5000 0.5000 0.0000 (multiplicity 1)
3 U 0.0000 0.5000 0.5000 (multiplicity 1)
4 U 0.5000 0.0000 0.5000 (multiplicity 1)
5 P 0.2446 0.0000 0.7405 (multiplicity 2)
6 P 0.2509 0.5000 0.2585 (multiplicity 2)

Results
* size of the total moment: 5.06 Bohr magnetons per cell
* DOS(E_F): 1.725 states/eV per atom
* energy of formation from the pure elements: -1.25 eV per atom

---

The following is a PBE calculation of Y2GaSe2 after structural relaxation, from the Alexandria database.

Cell lengths 7.9703, 7.9703, 3.6908 Å; angles 90.00, 90.00, 90.00 degrees
Space group P4/mbm (No. 127)
Unique sites:
1 Y 0.1577 0.3423 0.0000 (multiplicity 4)
2 Ga 0.0000 0.0000 0.5000 (multiplicity 2)
3 Se 0.1413 0.6413 0.5000 (multiplicity 4)

Results
* size of the total moment: 0.00 Bohr magnetons per cell
* DOS(E_F): 1.097 states/eV per atom
* energy above the lowest structure with this stoichiometry: 0.011 eV per atom
* ΔE_f (raw): -1.13 eV/atom

---

The following is a PBE calculation of LaPr3Dy after structural relaxation, from the Alexandria database.

Cell lengths 8.2872, 14.1997, 6.3226 Å; angles 90.00, 90.00, 90.00 degrees
Space group Cmcm (No. 63)
Unique sites:
1 La 0.0000 0.2015 0.2500 (multiplicity 4)
2 Pr 0.0000 0.0000 0.0000 (multiplicity 4)
3 Pr 0.1971 0.4014 0.2500 (multiplicity 8)
4 Dy 0.0000 0.3380 0.7500 (multiplicity 4)

Results
* size of the total moment: 0.00 Bohr magnetons per cell
* DOS(E_F): 0.843 states/eV per atom
* energy above the lowest structure with this stoichiometry: 0.137 eV per atom
* energy of formation from the pure elements: 0.31 eV per atom

---

no.,energy (eV/atom)
1,-9.0943
2,-4.9436
3,-3.3671
4,-4.7083
5,-2.4644
6,-6.0476
7,-2.9629
8,-3.1484
9,-4.4468
10,-4.2457
11,-3.0255
12,-5.1648
13,-5.5969
14,-4.1966
15,-2.7478
16,-5.2390
17,-5.4236
18,-8.1020
19,-5.7142
20,-4.4653